*a*
{"formula": "TlHg4", "functional": "PBE", "state": "relaxed", "cell": [[-3.6317, 3.6317, 3.6317], [3.6317, -3.6317, 3.6317], [3.6317, 3.6317, -3.6317]], "species": ["Tl", "Hg", "Hg", "Hg", "Hg"], "fractional_positions": [[0.0000, 0.0000, 0.0000], [0.0000, 0.0000, 0.5000], [0.0000, 0.5000, 0.0000], [0.5000, 0.0000, 0.0000], [0.5000, 0.5000, 0.5000]], "density_g_cm3": 8.73, "crystal_system": "cubic"}

***

*b*
{"formula": "TlHg4", "functional": "PBE", "state": "relaxed", "cell": [[4.6662, -2.6688, 0.0000], [4.6662, 2.6688, 0.0000], [-3.1198, 0.0000, 5.6266]], "species": ["Tl", "Hg", "Hg", "Hg", "Hg"], "fractional_positions": [[0.0000, 0.0000, 0.0000], [0.2019, 0.2019, 0.6051], [0.4044, 0.4044, 0.2132], [0.5956, 0.5956, 0.7868], [0.7981, 0.7981, 0.3949]], "density_g_cm3": 11.93, "crystal_system": "monoclinic"}

***

*c*
{"formula": "TlHg4", "functional": "PBE", "state": "relaxed", "cell": [[5.9877, 0.0000, 0.0000], [0.0000, 5.9877, 0.0000], [0.0000, 0.0000, 5.9877]], "species": ["Tl", "Hg", "Hg", "Hg", "Hg"], "fractional_positions": [[0.0000, 0.0000, 0.0000], [0.0000, 0.0000, 0.5000], [0.0000, 0.5000, 0.0000], [0.5000, 0.0000, 0.0000], [0.5000, 0.5000, 0.5000]], "density_g_cm3": 7.79, "crystal_system": "cubic"}

***

Most stable one: *b*, least stable one: *c*.

***

*a*
{"formula": "Tl6Hg", "functional": "PBE", "state": "relaxed", "cell": [[-4.3213, 4.3213, 4.3213], [4.3213, -4.3213, 4.3213], [4.3213, 4.3213, -4.3213]], "species": ["Tl", "Tl", "Tl", "Tl", "Tl", "Tl", "Hg"], "fractional_positions": [[0.2500, 0.5000, 0.7500], [0.2500, 0.7500, 0.5000], [0.5000, 0.2500, 0.7500], [0.5000, 0.7500, 0.2500], [0.7500, 0.2500, 0.5000], [0.7500, 0.5000, 0.2500], [0.0000, 0.0000, 0.0000]], "density_g_cm3": 7.34, "crystal_system": "cubic"}

***

*b*
{"formula": "Tl6Hg", "functional": "PBE", "state": "relaxed", "cell": [[4.7389, 0.0000, 0.0000], [0.0000, 4.7389, 0.0000], [0.0000, 0.0000, 10.0815]], "species": ["Tl", "Tl", "Tl", "Tl", "Tl", "Tl", "Hg"], "fractional_positions": [[0.0000, 0.0000, 0.0000], [0.0000, 0.5000, 0.2407], [0.0000, 0.5000, 0.7593], [0.5000, 0.0000, 0.2407], [0.5000, 0.0000, 0.7593], [0.5000, 0.5000, 0.5000], [0.0000, 0.0000, 0.5000]], "density_g_cm3": 10.47, "crystal_system": "tetragonal"}

***

*c*
{"formula": "Tl6Hg", "functional": "PBE", "state": "relaxed", "cell": [[7.3166, 4.2242, 1.1427], [-7.3166, 4.2242, 1.1427], [0.0000, -8.4484, 1.1427]], "species": ["Tl", "Tl", "Tl", "Tl", "Tl", "Tl", "Hg"], "fractional_positions": [[0.0135, 0.5922, 0.7370], [0.2630, 0.9865, 0.4078], [0.4078, 0.2630, 0.9865], [0.5922, 0.7370, 0.0135], [0.7370, 0.0135, 0.5922], [0.9865, 0.4078, 0.2630], [0.5000, 0.5000, 0.5000]], "density_g_cm3": 11.18, "crystal_system": "trigonal"}

***

Most stable one: *c*, least stable one: *a*.

***

*a*
{"formula": "Tl3Hg8", "functional": "PBE", "state": "relaxed", "cell": [[5.5355, 3.1959, 3.2772], [-5.5355, 3.1959, 3.2772], [0.0000, -6.3919, 3.2772]], "species": ["Tl", "Tl", "Tl", "Hg", "Hg", "Hg", "Hg", "Hg", "Hg", "Hg", "Hg"], "fractional_positions": [[0.0000, 0.5000, 0.5000], [0.5000, 0.0000, 0.5000], [0.5000, 0.5000, 0.0000], [0.0488, 0.8894, 0.3248], [0.1106, 0.6752, 0.9512], [0.3248, 0.0488, 0.8894], [0.3381, 0.3381, 0.3381], [0.6619, 0.6619, 0.6619], [0.6752, 0.9512, 0.1106], [0.8894, 0.3248, 0.0488], [0.9512, 0.1106, 0.6752]], "density_g_cm3": 10.59, "crystal_system": "trigonal"}

***

*b*
{"formula": "Tl3Hg8", "functional": "PBE", "state": "relaxed", "cell": [[6.4719, -2.0330, 0.0000], [6.4719, 2.0330, 0.0000], [-5.9857, 0.0000, 12.0107]], "species": ["Tl", "Tl", "Tl", "Hg", "Hg", "Hg", "Hg", "Hg", "Hg", "Hg", "Hg"], "fractional_positions": [[0.0000, 0.0000, 0.0000], [0.0977, 0.0977, 0.6412], [0.9023, 0.9023, 0.3588], [0.1752, 0.1752, 0.2739], [0.2702, 0.2702, 0.9119], [0.3606, 0.3606, 0.5482], [0.4529, 0.4529, 0.1813], [0.5471, 0.5471, 0.8187], [0.6394, 0.6394, 0.4518], [0.7298, 0.7298, 0.0881], [0.8248, 0.8248, 0.7261]], "density_g_cm3": 11.65, "crystal_system": "monoclinic"}

***

Most stable one: *b*, least stable one: *a*.